No. 1
DyTh3Sc3 | PBE-GGA | relaxed

Calculated formation energy in meV per atom: 60
Total moment in μB/f.u.: 0.00
DOS(E_F) in states/eV/atom: 1.535

a = 5.636 Å, b = 9.149 Å, c = 9.149 Å
α = 120.00°, β = 90.00°, γ = 90.00°
Fractional positions:
Sc 0.750 0.908 0.384
Sc 0.750 0.616 0.524
Sc 0.250 0.384 0.476
Sc 0.250 0.092 0.616
Sc 0.750 0.476 0.092
Sc 0.250 0.524 0.908
Dy 0.750 0.333 0.667
Dy 0.250 0.667 0.333
Th 0.750 0.198 0.242
Th 0.250 0.802 0.758
Th 0.750 0.758 0.957
Th 0.250 0.242 0.043
Th 0.250 0.957 0.198
Th 0.750 0.043 0.802

---

No. 2
PuAgSO | PBE-GGA | relaxed

Total moment in μB/f.u.: 4.86
DOS(E_F) in states/eV/atom: 1.457
Formation energy without anion corrections in kcal/mol of atoms: -37.985

a = 3.921 Å, b = 3.921 Å, c = 11.172 Å
α = 79.89°, β = 79.89°, γ = 60.00°
Fractional positions:
Ag 0.306 0.306 0.083
Ag 0.694 0.694 0.917
O 0.808 0.808 0.577
O 0.192 0.192 0.423
S 0.599 0.599 0.204
S 0.401 0.401 0.796
Pu 0.122 0.122 0.635
Pu 0.878 0.878 0.365

---

No. 3
GeBAsRh2 | PBE-GGA | relaxed

Calculated formation energy in meV per atom: 834
Total moment in μB/f.u.: 0.00
DOS(E_F) in states/eV/atom: 0.672

a = 4.703 Å, b = 3.790 Å, c = 4.703 Å
α = 90.00°, β = 90.00°, γ = 90.00°
Fractional positions:
B 0.000 0.500 0.000
Rh 0.000 0.000 0.500
Rh 0.500 0.000 0.000
As 0.000 0.000 0.000
Ge 0.500 0.500 0.500

---

No. 4
CaYSb | PBE-GGA | relaxed

Total moment in μB/f.u.: 0.00
DOS(E_F) in states/eV/atom: 1.131
Formation energy without anion corrections in kcal/mol of atoms: -13.773

a = 5.148 Å, b = 5.148 Å, c = 5.148 Å
α = 60.00°, β = 60.00°, γ = 60.00°
Fractional positions:
Y 0.000 0.000 0.000
Sb 0.750 0.750 0.750
Ca 0.500 0.500 0.500

---

No. 5
CrPd3Br | PBE-GGA | relaxed

Distance to the lowest polymorph of the same formula in meV per atom: 0.0
Total moment in μB/f.u.: 5.00
DOS(E_F) in states/eV/atom: 0.141
Formation energy without anion corrections in kcal/mol of atoms: 16.763

a = 4.731 Å, b = 4.731 Å, c = 4.731 Å
α = 90.00°, β = 90.00°, γ = 90.00°
Fractional positions:
Pd 0.000 0.500 0.000
Pd 0.000 0.000 0.500
Pd 0.500 0.000 0.000
Cr 0.500 0.500 0.500
Br 0.000 0.000 0.000

---

No. 6
PmNd4Dy3 | PBE-GGA | relaxed

Calculated formation energy in meV per atom: 29
Distance to the lowest polymorph of the same formula in meV per atom: 13.1
Total moment in μB/f.u.: 0.00
DOS(E_F) in states/eV/atom: 1.783

a = 6.341 Å, b = 7.351 Å, c = 11.683 Å
α = 90.00°, β = 90.00°, γ = 90.00°
Fractional positions:
Nd 0.482 0.874 0.753
Nd 0.644 0.128 0.500
Nd 0.144 0.872 0.000
Nd 0.982 0.126 0.253
Nd 0.151 0.872 0.500
Nd 0.482 0.874 0.247
Nd 0.982 0.126 0.747
Nd 0.651 0.128 0.000
Dy 0.981 0.622 0.250
Dy 0.147 0.379 0.500
Dy 0.647 0.621 0.000
Dy 0.481 0.378 0.750
Dy 0.981 0.622 0.750
Dy 0.481 0.378 0.250
Pm 0.649 0.624 0.500
Pm 0.149 0.376 0.000

---

No. 7
La2ErSn3Rh4 | PBE-GGA | relaxed

Calculated formation energy in meV per atom: -800
Total moment in μB/f.u.: 0.00
DOS(E_F) in states/eV/atom: 0.776

a = 4.447 Å, b = 4.447 Å, c = 11.446 Å
α = 90.00°, β = 90.00°, γ = 90.00°
Fractional positions:
La 0.000 0.500 0.764
La 0.500 0.000 0.236
Er 0.500 0.500 0.500
Rh 0.000 0.500 0.355
Rh 0.000 0.000 0.000
Rh 0.500 0.000 0.645
Rh 0.500 0.500 0.000
Sn 0.000 0.000 0.500
Sn 0.500 0.000 0.875
Sn 0.000 0.500 0.125

---

No. 8
TaCo3Si | PBE-GGA | relaxed

Distance to the lowest polymorph of the same formula in meV per atom: 1780.0
Total moment in μB/f.u.: 1.35
DOS(E_F) in states/eV/atom: 1.319
Formation energy without anion corrections in kcal/mol of atoms: 35.840

a = 4.465 Å, b = 4.465 Å, c = 4.465 Å
α = 90.00°, β = 90.00°, γ = 90.00°
Fractional positions:
Co 0.000 0.500 0.000
Co 0.000 0.000 0.500
Co 0.500 0.000 0.000
Ta 0.000 0.000 0.000
Si 0.500 0.500 0.500